PBE+U CsCoO2, relaxed; final energy = -5.067 eV/atom
1.0
3.966 0.000 0.000
0.000 3.966 0.000
0.000 0.000 8.443
Cs Co O
2 2 4
direct
0.250 0.250 0.158
0.750 0.750 0.842
0.250 0.250 0.576
0.750 0.750 0.424
0.250 0.250 0.781
0.250 0.750 0.500
0.750 0.250 0.500
0.750 0.750 0.219



PBE+U CsCoO2, relaxed; final energy = -5.144 eV/atom
1.0
3.015 -6.072 0.000
3.015 6.072 0.000
-0.310 0.000 8.212
Cs Co O
4 4 8
direct
0.163 0.331 0.429
0.331 0.163 0.929
0.669 0.837 0.071
0.837 0.669 0.571
0.047 0.449 0.856
0.449 0.047 0.356
0.551 0.953 0.644
0.953 0.551 0.144
0.098 0.398 0.076
0.142 0.858 0.250
0.336 0.664 0.750
0.398 0.098 0.576
0.602 0.902 0.424
0.664 0.336 0.250
0.858 0.142 0.750
0.902 0.602 0.924



PBE+U CsCoO2, relaxed; final energy = -5.183 eV/atom
1.0
5.334 0.000 0.000
0.000 12.189 0.000
-0.225 0.000 5.422
Cs Co O
4 4 8
direct
0.000 0.186 0.250
0.000 0.814 0.750
0.500 0.314 0.750
0.500 0.686 0.250
0.000 0.498 0.250
0.000 0.502 0.750
0.500 0.002 0.750
0.500 0.998 0.250
0.034 0.399 0.998
0.034 0.601 0.498
0.466 0.101 0.002
0.466 0.899 0.501
0.534 0.101 0.498
0.534 0.899 0.998
0.966 0.399 0.501
0.966 0.601 0.002



PBE+U CsCoP3O9, relaxed; final energy = -6.771 eV/atom
1.0
5.088 2.938 2.382
-5.088 2.938 2.382
0.000 -5.875 2.382
Cs Co P O
1 1 3 9
direct
0.000 0.000 0.000
0.503 0.503 0.503
0.401 0.982 0.538
0.538 0.401 0.982
0.982 0.538 0.401
0.126 0.785 0.380
0.144 0.413 0.453
0.380 0.126 0.785
0.413 0.453 0.144
0.453 0.144 0.413
0.563 0.859 0.596
0.596 0.563 0.859
0.785 0.380 0.126
0.859 0.596 0.563



PBE+U CsPrCoO3, relaxed; final energy = -6.248 eV/atom
1.0
1.833 -6.649 0.000
1.833 6.649 0.000
0.000 0.000 9.568
Cs Pr Co O
2 2 2 6
direct
0.232 0.768 0.750
0.768 0.232 0.250
0.500 0.500 0.000
0.500 0.500 0.500
0.043 0.957 0.250
0.957 0.043 0.750
0.106 0.894 0.069
0.106 0.894 0.431
0.464 0.536 0.250
0.536 0.464 0.750
0.894 0.106 0.569
0.894 0.106 0.931



PBE+U Cs3Rb3Co2O5, relaxed; final energy = -4.226 eV/atom; energy above the most stable polymorph in this dataset = 0 meV/atom
1.0
3.646 -5.973 0.000
3.646 5.973 0.000
-0.542 0.000 7.014
Cs Rb Co O
3 3 2 5
direct
0.000 0.000 0.000
0.158 0.567 0.218
0.567 0.158 0.218
0.108 0.583 0.716
0.583 0.108 0.716
0.712 0.712 0.399
0.149 0.149 0.520
0.557 0.557 0.866
0.186 0.912 0.467
0.400 0.400 0.648
0.531 0.791 0.986
0.791 0.531 0.986
0.912 0.186 0.467



PBE+U Cs3Rb3Co2O5, relaxed; final energy = -4.224 eV/atom; energy above the most stable polymorph in this dataset = 2 meV/atom
1.0
3.679 -5.952 0.000
3.679 5.952 0.000
-0.577 0.000 7.058
Cs Rb Co O
3 3 2 5
direct
0.000 0.000 0.000
0.438 0.846 0.796
0.846 0.438 0.796
0.280 0.280 0.611
0.414 0.889 0.292
0.889 0.414 0.292
0.460 0.460 0.112
0.864 0.864 0.468
0.085 0.813 0.548
0.206 0.467 0.025
0.467 0.206 0.025
0.680 0.680 0.252
0.813 0.085 0.548



PBE+U Cs5RbCo2O5, relaxed; final energy = -4.200 eV/atom
1.0
3.691 -6.105 0.000
3.691 6.105 0.000
-0.703 0.000 7.176
Cs Rb Co O
5 1 2 5
direct
0.000 0.000 0.000
0.112 0.600 0.688
0.155 0.570 0.188
0.570 0.155 0.188
0.600 0.112 0.688
0.710 0.710 0.373
0.159 0.159 0.489
0.556 0.556 0.851
0.191 0.926 0.422
0.401 0.401 0.633
0.534 0.785 0.972
0.785 0.534 0.972
0.926 0.191 0.422



PBE+U CsRbCoO2, relaxed; final energy = -4.496 eV/atom
1.0
4.183 0.000 0.000
0.000 4.183 0.000
0.000 0.000 13.673
Cs Rb Co O
2 2 2 4
direct
0.000 0.000 0.000
0.500 0.500 0.500
0.000 0.000 0.314
0.500 0.500 0.814
0.000 0.000 0.659
0.500 0.500 0.159
0.000 0.000 0.534
0.000 0.000 0.785
0.500 0.500 0.034
0.500 0.500 0.285



PBE+U CsRb5ZnCoO5, relaxed; final energy = -4.006 eV/atom; energy above the most stable polymorph in this dataset = 2 meV/atom
1.0
3.559 -5.955 0.000
3.559 5.955 0.000
-0.283 0.000 6.934
Cs Rb Zn Co O
1 5 1 1 5
direct
0.000 0.000 0.000
0.311 0.311 0.608
0.433 0.905 0.308
0.452 0.878 0.807
0.878 0.452 0.807
0.905 0.433 0.308
0.866 0.866 0.491
0.458 0.458 0.108
0.107 0.830 0.582
0.231 0.506 0.036
0.506 0.231 0.036
0.679 0.679 0.281
0.830 0.107 0.582



PBE+U Cs5RbZnCoO5, relaxed; final energy = -3.951 eV/atom
1.0
3.705 -6.139 0.000
3.705 6.139 0.000
-0.778 0.000 7.203
Cs Rb Zn Co O
5 1 1 1 5
direct
0.000 0.000 0.000
0.419 0.897 0.312
0.445 0.863 0.811
0.863 0.445 0.811
0.897 0.419 0.312
0.279 0.279 0.635
0.856 0.856 0.484
0.454 0.454 0.112
0.091 0.827 0.591
0.225 0.490 0.041
0.490 0.225 0.041
0.689 0.689 0.260
0.827 0.091 0.591



PBE+U CsRb5ZnCoO5, relaxed; final energy = -4.008 eV/atom; energy above the most stable polymorph in this dataset = 0 meV/atom
1.0
3.513 -5.994 0.000
3.513 5.994 0.000
-0.180 0.000 6.899
Cs Rb Zn Co O
1 5 1 1 5
direct
0.000 0.000 0.000
0.325 0.325 0.605
0.427 0.896 0.290
0.446 0.878 0.787
0.878 0.446 0.787
0.896 0.427 0.290
0.460 0.460 0.112
0.869 0.869 0.492
0.100 0.827 0.556
0.225 0.500 0.014
0.500 0.225 0.014
0.635 0.635 0.334
0.827 0.100 0.556



PBE+U CsCoSO, relaxed; final energy = -4.539 eV/atom; energy above the most stable polymorph in this dataset = 0 meV/atom
1.0
3.842 0.000 0.000
0.000 8.104 0.000
0.000 0.000 6.537
Cs Co S O
2 2 2 2
direct
0.000 0.198 0.000
0.000 0.802 0.500
0.500 0.406 0.457
0.500 0.594 0.957
0.000 0.246 0.500
0.000 0.754 0.000
0.500 0.450 0.177
0.500 0.550 0.677



PBE+U CsCoSO, relaxed; final energy = -4.536 eV/atom; energy above the most stable polymorph in this dataset = 3 meV/atom
1.0
7.256 0.000 0.000
0.000 8.496 0.000
0.000 0.000 6.314
Cs Co S O
4 4 4 4
direct
0.089 0.159 0.000
0.411 0.159 0.500
0.589 0.841 0.000
0.911 0.841 0.500
0.091 0.623 0.018
0.409 0.623 0.518
0.591 0.377 0.018
0.909 0.377 0.518
0.145 0.525 0.678
0.355 0.525 0.178
0.645 0.475 0.678
0.855 0.475 0.178
0.020 0.816 0.012
0.480 0.816 0.512
0.520 0.184 0.012
0.980 0.184 0.512



PBE+U Cs4CoSi2O7, relaxed; final energy = -5.942 eV/atom; energy above the most stable polymorph in this dataset = 0 meV/atom
1.0
6.487 0.000 0.000
-2.393 7.034 0.000
-1.409 -3.761 6.267
Cs Co Si O
4 1 2 7
direct
0.060 0.039 0.275
0.330 0.600 0.229
0.670 0.400 0.771
0.940 0.961 0.725
0.500 0.000 0.000
0.214 0.583 0.723
0.786 0.417 0.277
0.000 0.500 0.500
0.184 0.768 0.927
0.200 0.370 0.738
0.470 0.743 0.735
0.530 0.257 0.265
0.800 0.630 0.262
0.816 0.232 0.073



PBE+U CsSmCoO3, relaxed; final energy = -6.298 eV/atom
1.0
1.813 -6.555 0.000
1.813 6.555 0.000
0.000 0.000 9.370
Cs Sm Co O
2 2 2 6
direct
0.231 0.769 0.750
0.769 0.231 0.250
0.500 0.500 0.000
0.500 0.500 0.500
0.044 0.956 0.250
0.956 0.044 0.750
0.105 0.895 0.064
0.105 0.895 0.436
0.465 0.535 0.250
0.535 0.465 0.750
0.895 0.105 0.564
0.895 0.105 0.936



PBE+U CsTbCoO3, relaxed; final energy = -6.338 eV/atom
1.0
1.785 -6.573 0.000
1.785 6.573 0.000
0.000 0.000 9.171
Cs Tb Co O
2 2 2 6
direct
0.225 0.775 0.750
0.775 0.225 0.250
0.500 0.500 0.000
0.500 0.500 0.500
0.051 0.949 0.250
0.949 0.051 0.750
0.105 0.895 0.055
0.105 0.895 0.445
0.471 0.529 0.250
0.529 0.471 0.750
0.895 0.105 0.555
0.895 0.105 0.945



PBE+U Cs6ZnCoO5, relaxed; final energy = -3.949 eV/atom
1.0
3.710 -6.146 0.000
3.710 6.146 0.000
-0.754 0.000 7.228
Cs Zn Co O
6 1 1 5
direct
0.000 0.000 0.000
0.291 0.291 0.621
0.411 0.888 0.302
0.440 0.860 0.807
0.860 0.440 0.807
0.888 0.411 0.302
0.460 0.460 0.115
0.859 0.859 0.487
0.074 0.811 0.577
0.215 0.482 0.031
0.482 0.215 0.031
0.696 0.696 0.258
0.811 0.074 0.577